[1]
A geometry-optimized SrAlN structure, computed with PBE.

V in Å³ per cell: 132.8
Formation energy (no corrections) in kJ per mole of atoms: -52.79
Total magnetic moment in μB/cell: 0.0
Crystal system: trigonal
N(E_F) in states/eV/f.u.: 0.9

Lattice parameters (Å, degrees): 4.4865 4.4865 8.0476 73.81 73.81 60.00
With the nearest neighbours (Å) after each atom.
Atoms (fractional coordinates):
Sr (0.3867, 0.3867, 0.8398)  4 N 2.60-2.62
Sr (0.6133, 0.6133, 0.1602)  4 N 2.60-2.62
N (0.2723, 0.2723, 0.1830)  1 Al 1.81
N (0.7277, 0.7277, 0.8170)  1 Al 1.81
Al (0.1932, 0.1932, 0.4205)  1 N 1.81
Al (0.8068, 0.8068, 0.5795)  1 N 1.81

=====

[2]
A geometry-optimized Be3TeCl structure, computed with PBE.

V in Å³ per cell: 118.7
Formation energy (no corrections) in kJ per mole of atoms: 107.38
Total magnetic moment in μB/cell: 0.0
Crystal system: cubic
Distance to the lowest polymorph of the same formula in meV/atom: 75
N(E_F) in states/eV/f.u.: 4.3

Lattice parameters (Å, degrees): 4.9143 4.9143 4.9143 90.00 90.00 90.00
With the nearest neighbours (Å) after each atom.
Atoms (fractional coordinates):
Be (0.0000, 0.5000, 0.0000)  2 Te 2.46
Be (0.0000, 0.0000, 0.5000)  2 Te 2.46
Be (0.5000, 0.0000, 0.0000)  2 Te 2.46
Te (0.0000, 0.0000, 0.0000)  6 Be 2.46
Cl (0.5000, 0.5000, 0.5000)  12 Be 3.47

=====

[3]
A geometry-optimized TlCu2BSe4 structure, computed with PBE.

V in Å³ per cell: 172.6
Formation energy (no corrections) in kJ per mole of atoms: -16.94
Total magnetic moment in μB/cell: 0.0
Crystal system: tetragonal
N(E_F) in states/eV/f.u.: 2.9

Lattice parameters (Å, degrees): 6.5653 6.5653 6.5653 127.55 127.55 77.35
With the nearest neighbours (Å) after each atom.
Atoms (fractional coordinates):
Tl (0.5000, 0.5000, 0.0000)  4 Se 2.83
Cu (0.7500, 0.2500, 0.5000)  4 Se 2.43
Cu (0.2500, 0.7500, 0.5000)  4 Se 2.43
B (0.0000, 0.0000, 0.0000)  4 Se 2.09
Se (0.6746, 0.6746, 0.6084)  1 B 2.09
Se (0.9339, 0.3254, 0.0000)  1 B 2.09
Se (0.3254, 0.9339, 0.0000)  1 B 2.09
Se (0.0661, 0.0661, 0.3916)  1 B 2.09

=====

[4]
A geometry-optimized TbTm2P3Rh12 structure, computed with PBE.

V in Å³ per cell: 293.8
Total magnetic moment in μB/cell: 0.0
Formation enthalpy at 0 K in meV per atom: -439
Crystal system: trigonal
N(E_F) in states/eV/f.u.: 15.5

Lattice parameters (Å, degrees): 6.6863 6.6863 6.6863 83.62 83.62 83.62
With the nearest neighbours (Å) after each atom.
Atoms (fractional coordinates):
Tb (0.0000, 0.0000, 0.0000)  6 Rh 2.68
Tm (0.6268, 0.6268, 0.6268)  3 Rh 2.50
Tm (0.3732, 0.3732, 0.3732)  3 Rh 2.50
P (0.5000, 0.0000, 0.0000)  2 Rh 2.23
P (0.0000, 0.5000, 0.0000)  2 Rh 2.23
P (0.0000, 0.0000, 0.5000)  2 Rh 2.23
Rh (0.3708, 0.3708, 0.9062)  2 P 2.57, 1 Rh 2.69
Rh (0.8193, 0.8193, 0.3396)  1 P 2.23
Rh (0.3396, 0.8193, 0.8193)  1 P 2.23
Rh (0.9062, 0.3708, 0.3708)  2 P 2.57, 1 Rh 2.69
Rh (0.8193, 0.3396, 0.8193)  1 P 2.23
Rh (0.3708, 0.9062, 0.3708)  2 P 2.57, 1 Rh 2.69
Rh (0.6292, 0.6292, 0.0938)  2 P 2.57, 1 Rh 2.69
Rh (0.1807, 0.1807, 0.6604)  1 P 2.23
Rh (0.6604, 0.1807, 0.1807)  1 P 2.23
Rh (0.0938, 0.6292, 0.6292)  2 P 2.57, 1 Rh 2.69
Rh (0.1807, 0.6604, 0.1807)  1 P 2.23
Rh (0.6292, 0.0938, 0.6292)  2 P 2.57, 1 Rh 2.69

=====

[5]
A geometry-optimized Zr2AgSb structure, computed with PBE.

V in Å³ per cell: 88.0
Formation energy (no corrections) in kJ per mole of atoms: -11.75
Total magnetic moment in μB/cell: 0.0
Crystal system: monoclinic
N(E_F) in states/eV/f.u.: 3.2

Lattice parameters (Å, degrees): 5.4062 5.4062 5.3248 73.03 73.03 36.47
With the nearest neighbours (Å) after each atom.
Atoms (fractional coordinates):
Ag (0.7500, 0.7500, 0.7500)  6 Zr 3.03-3.19, 4 Sb 3.15, 2 Ag 3.38
Sb (0.2500, 0.2500, 0.2500)  6 Zr 3.01-3.28, 4 Ag 3.15
Zr (0.9977, 0.9977, 0.9927)  3 Sb 3.01-3.28, 3 Ag 3.03-3.19, 4 Zr 3.08-3.23
Zr (0.5023, 0.5023, 0.5073)  3 Sb 3.01-3.28, 3 Ag 3.03-3.19, 4 Zr 3.08-3.23

=====

[6]
A geometry-optimized LaTaCo2 structure, computed with PBE.

V in Å³ per cell: 77.1
Total magnetic moment in μB/cell: 0.0
Formation enthalpy at 0 K in meV per atom: 182
Crystal system: orthorhombic
Distance to the lowest polymorph of the same formula in meV/atom: 258
N(E_F) in states/eV/f.u.: 4.0

Lattice parameters (Å, degrees): 6.6608 6.6608 6.6608 149.83 148.60 44.10
With the nearest neighbours (Å) after each atom.
Atoms (fractional coordinates):
Co (0.9129, 0.9129, 0.0000)  2 Co 2.41, 2 Ta 2.48
Co (0.7774, 0.2774, 0.5000)  2 Co 2.41, 4 Ta 2.50
La (0.5348, 0.5348, 0.0000)  4 Co 2.92
Ta (0.2749, 0.7749, 0.5000)  6 Co 2.48-2.50

=====

[7]
A geometry-optimized BaSr2Y structure, computed with PBE.

V in Å³ per cell: 380.1
Total magnetic moment in μB/cell: 0.0
Formation enthalpy at 0 K in meV per atom: 436
Crystal system: tetragonal
Distance to the lowest polymorph of the same formula in meV/atom: 288
N(E_F) in states/eV/f.u.: 7.5

Lattice parameters (Å, degrees): 10.0283 10.0283 8.0352 51.39 51.39 90.00
With the nearest neighbours (Å) after each atom.
Atoms (fractional coordinates):
Y (0.5000, 0.5000, 0.0000)  4 Sr 3.62, 2 Ba 3.78
Y (0.2500, 0.7500, 0.5000)  4 Sr 3.62, 2 Ba 3.78
Sr (0.6177, 0.1250, 0.2500)  2 Y 3.62, 2 Ba 3.72, 2 Sr 3.78
Sr (0.1323, 0.6250, 0.2500)  2 Y 3.62, 2 Ba 3.72, 2 Sr 3.78
Sr (0.3750, 0.3823, 0.7500)  2 Y 3.62, 2 Ba 3.72, 2 Sr 3.78
Sr (0.8750, 0.8677, 0.7500)  2 Y 3.62, 2 Ba 3.72, 2 Sr 3.78
Ba (0.0000, 0.0000, 0.0000)  4 Sr 3.72, 2 Y 3.78
Ba (0.7500, 0.2500, 0.5000)  4 Sr 3.72, 2 Y 3.78

=====

[8]
A geometry-optimized NbRuO2 structure, computed with PBE.

V in Å³ per cell: 98.6
Formation energy (no corrections) in kJ per mole of atoms: -97.90
Total magnetic moment in μB/cell: 1.8
Crystal system: tetragonal
Distance to the lowest polymorph of the same formula in meV/atom: 238
N(E_F) in states/eV/f.u.: 2.2

Lattice parameters (Å, degrees): 3.9306 3.9306 6.9618 73.60 73.60 90.00
With the nearest neighbours (Å) after each atom.
Atoms (fractional coordinates):
Ru (0.0000, 0.0000, 0.0000)  4 O 2.15
Ru (0.7500, 0.2500, 0.5000)  4 O 2.15
Nb (0.5000, 0.5000, 0.0000)  4 O 2.09
Nb (0.2500, 0.7500, 0.5000)  4 O 2.09
O (0.6092, 0.1250, 0.2500)  2 Nb 2.09, 2 Ru 2.15
O (0.1408, 0.6250, 0.2500)  2 Nb 2.09, 2 Ru 2.15
O (0.3750, 0.3908, 0.7500)  2 Nb 2.09, 2 Ru 2.15
O (0.8750, 0.8592, 0.7500)  2 Nb 2.09, 2 Ru 2.15